No. 1
This record from the Alexandria database describes crystalline Na2AcTlPb2 at its relaxed geometry. The functional is PBE.

a b c (Å): 4.8826 9.7393 8.3512
angles (deg): 90.00 90.00 90.00
Space group Pmc2_1 (No. 26)
Symmetry-distinct sites (fractional):
Na (0.0000, 0.0723, 0.0000) [2 per cell]
Na (0.5000, 0.1703, 0.3181) [2 per cell]
Ac (0.5000, 0.4415, 0.9341) [2 per cell]
Tl (0.0000, 0.3168, 0.6038) [2 per cell]
Pb (0.0000, 0.3682, 0.2189) [2 per cell]
Pb (0.5000, 0.1440, 0.7080) [2 per cell]

energy = -3.019 eV per atom

---

No. 2
This record from the Alexandria database describes crystalline NaAc2Pd at its relaxed geometry. The functional is PBE.

a b c (Å): 4.3757 4.3757 33.4851
angles (deg): 90.00 90.00 120.00
Space group R-3m (No. 166, hexagonal axes)
Symmetry-distinct sites (fractional):
Na (0.0000, 0.0000, 0.0000) [3 per cell]
Ac (0.0000, 0.0000, 0.1173) [6 per cell]
Pd (0.0000, 0.0000, 0.5000) [3 per cell]

energy = -3.913 eV per atom

---

No. 3
This record from the Alexandria database describes crystalline NaAc2Pd at its relaxed geometry. The functional is PBE.

a b c (Å): 7.9629 7.9629 7.9629
angles (deg): 90.00 90.00 90.00
Space group Fm-3m (No. 225)
Symmetry-distinct sites (fractional):
Na (0.0000, 0.0000, 0.0000) [4 per cell]
Ac (0.2500, 0.2500, 0.2500) [8 per cell]
Pd (0.0000, 0.0000, 0.5000) [4 per cell]

energy = -3.807 eV per atom

---

No. 4
This record from the Alexandria database describes crystalline NaAc6Pd4 at its relaxed geometry. The functional is PBE.

a b c (Å): 8.9437 8.9707 9.8975
angles (deg): 90.00 116.85 90.00
Space group Cm (No. 8)
Symmetry-distinct sites (fractional):
Na (0.0000, 0.0000, 0.0000) [2 per cell]
Ac (0.2522, 0.2497, 0.0035) [4 per cell]
Ac (0.3233, 0.2382, 0.6465) [4 per cell]
Ac (0.4185, 0.5000, 0.3590) [2 per cell]
Ac (0.4415, 0.0000, 0.3591) [2 per cell]
Pd (0.1014, 0.0000, 0.7235) [2 per cell]
Pd (0.1222, 0.5000, 0.7233) [2 per cell]
Pd (0.1412, 0.2393, 0.2817) [4 per cell]

energy = -4.697 eV per atom